#1
! GGA-PBE Sm5TmAl2, relaxed; values from VASP
! Density in kg/m³: 6530
! Symmetry: P6_3/mmc (194)
&SYSTEM
  ibrav = 0, nat = 16, ntyp = 3
/
ATOMIC_SPECIES
Al 26.98 Al.upf
Sm 150.36 Sm.upf
Tm 168.93 Tm.upf
ATOMIC_POSITIONS crystal
Al 0.667 0.333 0.898
Sm 0.000 0.000 0.156
Al 0.333 0.667 0.102
Tm 0.667 0.333 0.750
Sm 0.333 0.667 0.945
Al 0.667 0.333 0.602
Sm 0.333 0.667 0.750
Tm 0.333 0.667 0.250
Sm 0.000 0.000 0.656
Sm 0.333 0.667 0.555
Sm 0.000 0.000 0.344
Sm 0.667 0.333 0.055
Sm 0.667 0.333 0.445
Sm 0.000 0.000 0.844
Al 0.333 0.667 0.398
Sm 0.667 0.333 0.250
CELL_PARAMETERS angstrom
5.367 0.000 0.000
-2.683 4.648 0.000
0.000 0.000 19.874

---

#2
! GGA-PBE Sm5TmAl2, relaxed; values from VASP
! Density in kg/m³: 6959
! Symmetry: Immm (71)
&SYSTEM
  ibrav = 0, nat = 8, ntyp = 3
/
ATOMIC_SPECIES
Al 26.98 Al.upf
Sm 150.36 Sm.upf
Tm 168.93 Tm.upf
ATOMIC_POSITIONS crystal
Al 0.277 0.223 0.223
Sm 0.000 0.500 0.500
Sm 0.640 0.579 0.140
Tm 0.000 0.000 0.000
Sm 0.640 0.140 0.579
Sm 0.360 0.421 0.860
Sm 0.360 0.860 0.421
Al 0.723 0.777 0.777
CELL_PARAMETERS angstrom
-2.069 -1.315 -2.635
-6.560 -2.890 4.135
-5.387 6.147 -1.294

---

Which of them is the most stable? Correct choice: #2.

---

#1
! GGA-PBE Sm3TmAl2, relaxed; values from VASP
! Density in kg/m³: 6884
! Symmetry: Cmmm (65)
&SYSTEM
  ibrav = 0, nat = 12, ntyp = 3
/
ATOMIC_SPECIES
Tm 168.93 Tm.upf
Sm 150.36 Sm.upf
Al 26.98 Al.upf
ATOMIC_POSITIONS crystal
Tm 0.000 0.500 0.000
Sm 0.175 0.925 0.351
Sm 0.825 0.575 0.649
Al 0.346 0.846 0.693
Sm 0.175 0.425 0.351
Sm 0.500 0.750 0.000
Al 0.654 0.654 0.307
Sm 0.825 0.075 0.649
Sm 0.500 0.250 0.000
Tm 0.000 0.000 0.000
Al 0.346 0.346 0.693
Al 0.654 0.154 0.307
CELL_PARAMETERS angstrom
-4.568 1.742 0.291
-1.603 -5.345 6.820
5.431 7.158 1.193

---

#2
! GGA-PBE Sm3TmAl2, relaxed; values from VASP
! Density in kg/m³: 6818
! Symmetry: Pmc2_1 (26)
&SYSTEM
  ibrav = 0, nat = 12, ntyp = 3
/
ATOMIC_SPECIES
Sm 150.36 Sm.upf
Tm 168.93 Tm.upf
Al 26.98 Al.upf
ATOMIC_POSITIONS crystal
Sm 0.500 0.191 0.820
Tm 0.500 0.024 0.457
Sm 0.000 0.309 0.330
Sm 0.500 0.691 0.180
Al 0.000 0.296 0.648
Tm 0.500 0.524 0.543
Al 0.500 0.206 0.150
Al 0.500 0.706 0.850
Sm 0.000 0.809 0.670
Al 0.000 0.796 0.352
Sm 0.000 0.974 0.039
Sm 0.000 0.474 0.961
CELL_PARAMETERS angstrom
-0.070 -3.868 3.415
-1.746 -4.201 -4.794
9.283 -1.778 -1.823

---

Which of them is the most stable? Correct choice: #2.

---

#1
! GGA-PBE SmTm3Al, relaxed; values from VASP
! Density in kg/m³: 8048
! Symmetry: C2/m (12)
&SYSTEM
  ibrav = 0, nat = 10, ntyp = 3
/
ATOMIC_SPECIES
Tm 168.93 Tm.upf
Al 26.98 Al.upf
Sm 150.36 Sm.upf
ATOMIC_POSITIONS crystal
Tm 0.366 0.270 0.017
Al 0.453 0.095 0.380
Tm 0.859 0.282 0.549
Tm 0.969 0.062 0.806
Sm 0.774 0.452 0.252
Tm 0.031 0.938 0.194
Sm 0.226 0.548 0.748
Tm 0.634 0.730 0.983
Al 0.547 0.905 0.620
Tm 0.141 0.718 0.451
CELL_PARAMETERS angstrom
3.562 0.000 0.000
1.780 6.400 0.555
-0.001 -0.043 12.382

---

#2
! GGA-PBE SmTm3Al, relaxed; values from VASP
! Density in kg/m³: 7778
! Symmetry: C2/c (15)
&SYSTEM
  ibrav = 0, nat = 20, ntyp = 3
/
ATOMIC_SPECIES
Tm 168.93 Tm.upf
Sm 150.36 Sm.upf
Al 26.98 Al.upf
ATOMIC_POSITIONS crystal
Tm 0.071 0.819 0.967
Tm 0.571 0.967 0.819
Sm 0.580 0.751 0.391
Tm 0.918 0.956 0.643
Tm 0.082 0.044 0.357
Al 0.750 0.878 0.122
Tm 0.429 0.033 0.181
Tm 0.418 0.643 0.956
Al 0.750 0.258 0.742
Al 0.250 0.742 0.258
Sm 0.920 0.609 0.249
Tm 0.582 0.357 0.044
Tm 0.777 0.262 0.389
Tm 0.929 0.181 0.033
Tm 0.277 0.389 0.262
Tm 0.223 0.738 0.611
Al 0.250 0.122 0.878
Sm 0.080 0.391 0.751
Sm 0.420 0.249 0.609
Tm 0.723 0.611 0.738
CELL_PARAMETERS angstrom
9.022 0.103 0.118
-1.104 8.232 -0.847
-1.104 -1.970 8.038

---

Which of them is the most stable? Correct choice: #1.

---

#1
! GGA-PBE Sm2TmAl, relaxed; values from VASP
! Density in kg/m³: 7481
! Symmetry: Amm2 (38)
&SYSTEM
  ibrav = 0, nat = 8, ntyp = 3
/
ATOMIC_SPECIES
Sm 150.36 Sm.upf
Al 26.98 Al.upf
Tm 168.93 Tm.upf
ATOMIC_POSITIONS crystal
Sm 0.000 0.353 0.179
Sm 0.000 0.821 0.647
Al 0.500 0.665 0.335
Sm 0.000 0.823 0.177
Sm 0.500 0.176 0.824
Tm 0.500 0.177 0.351
Al 0.000 0.337 0.663
Tm 0.500 0.649 0.823
CELL_PARAMETERS angstrom
5.313 0.000 0.000
0.000 6.933 -0.022
0.000 -3.479 5.997

---

#2
! GGA-PBE Sm2TmAl, relaxed; values from VASP
! Density in kg/m³: 7459
! Symmetry: P4/mmm (123)
&SYSTEM
  ibrav = 0, nat = 4, ntyp = 3
/
ATOMIC_SPECIES
Al 26.98 Al.upf
Sm 150.36 Sm.upf
Tm 168.93 Tm.upf
ATOMIC_POSITIONS crystal
Al 0.500 0.000 0.000
Sm 0.000 0.500 0.000
Tm 0.500 0.500 0.500
Sm 0.000 0.000 0.500
CELL_PARAMETERS angstrom
4.805 0.000 0.000
0.000 4.797 0.000
0.000 0.000 4.797

---

#3
! GGA-PBE Sm2TmAl, relaxed; values from VASP
! Density in kg/m³: 7191
! Symmetry: P4/mmm (123)
&SYSTEM
  ibrav = 0, nat = 4, ntyp = 3
/
ATOMIC_SPECIES
Tm 168.93 Tm.upf
Sm 150.36 Sm.upf
Al 26.98 Al.upf
ATOMIC_POSITIONS crystal
Tm 0.500 0.500 0.500
Sm 0.000 0.000 0.217
Sm 0.000 0.000 0.783
Al 0.500 0.500 0.000
CELL_PARAMETERS angstrom
-2.404 1.697 -1.962
-2.534 -2.106 1.284
-1.433 5.907 6.864

---

Which of them is the most stable? Correct choice: #1.

---

#1
! GGA-PBE Sm3TmAl, relaxed; values from VASP
! Density in kg/m³: 6710
! Symmetry: Pmmn (59)
&SYSTEM
  ibrav = 0, nat = 10, ntyp = 3
/
ATOMIC_SPECIES
Al 26.98 Al.upf
Sm 150.36 Sm.upf
Tm 168.93 Tm.upf
ATOMIC_POSITIONS crystal
Al 0.750 0.250 0.126
Sm 0.750 0.508 0.749
Sm 0.750 0.992 0.749
Sm 0.750 0.750 0.065
Sm 0.250 0.492 0.251
Al 0.250 0.750 0.874
Sm 0.250 0.250 0.935
Tm 0.750 0.750 0.443
Tm 0.250 0.250 0.557
Sm 0.250 0.008 0.251
CELL_PARAMETERS angstrom
-3.177 1.324 3.142
4.443 -1.168 4.985
3.295 9.560 -0.698

---

#2
! GGA-PBE Sm3TmAl, relaxed; values from VASP
! Density in kg/m³: 7253
! Symmetry: C2/m (12)
&SYSTEM
  ibrav = 0, nat = 10, ntyp = 3
/
ATOMIC_SPECIES
Tm 168.93 Tm.upf
Sm 150.36 Sm.upf
Al 26.98 Al.upf
ATOMIC_POSITIONS crystal
Tm 0.780 0.440 0.253
Sm 0.963 0.074 0.804
Sm 0.636 0.727 0.978
Sm 0.364 0.273 0.022
Sm 0.858 0.284 0.553
Sm 0.037 0.926 0.196
Sm 0.142 0.716 0.447
Tm 0.220 0.560 0.747
Al 0.554 0.892 0.623
Al 0.446 0.108 0.377
CELL_PARAMETERS angstrom
-0.807 -3.163 1.627
3.463 -4.735 -3.401
10.343 0.936 6.950

---

Which of them is the most stable? Correct choice: #2.

---

#1
! GGA-PBE Sm3TmAl8, relaxed; values from VASP
! Density in kg/m³: 5554
! Symmetry: P3m1 (156)
&SYSTEM
  ibrav = 0, nat = 12, ntyp = 3
/
ATOMIC_SPECIES
Sm 150.36 Sm.upf
Al 26.98 Al.upf
Tm 168.93 Tm.upf
ATOMIC_POSITIONS crystal
Sm 0.000 0.000 0.932
Al 0.162 0.838 0.252
Al 0.333 0.667 0.998
Al 0.162 0.324 0.252
Al 0.504 0.009 0.747
Al 0.333 0.667 0.501
Al 0.676 0.838 0.252
Tm 0.000 0.000 0.568
Al 0.991 0.496 0.747
Al 0.504 0.496 0.747
Sm 0.667 0.333 0.069
Sm 0.667 0.333 0.433
CELL_PARAMETERS angstrom
5.598 0.000 0.000
-2.799 4.848 0.000
0.000 0.000 9.207

---

#2
! GGA-PBE Sm3TmAl8, relaxed; values from VASP
! Density in kg/m³: 5560
! Symmetry: R3m (160)
&SYSTEM
  ibrav = 0, nat = 12, ntyp = 3
/
ATOMIC_SPECIES
Al 26.98 Al.upf
Sm 150.36 Sm.upf
Tm 168.93 Tm.upf
ATOMIC_POSITIONS crystal
Al 0.439 0.938 0.685
Al 0.687 0.687 0.938
Al 0.937 0.437 0.190
Sm 0.375 0.375 0.875
Al 0.938 0.938 0.685
Al 0.437 0.437 0.190
Tm 0.875 0.875 0.374
Sm 0.000 0.000 0.001
Al 0.938 0.439 0.685
Sm 0.500 0.500 0.500
Al 0.437 0.937 0.190
Al 0.188 0.188 0.437
CELL_PARAMETERS angstrom
-0.748 0.391 5.537
-5.159 -0.309 2.157
-1.105 -9.090 3.325

---

Which of them is the most stable? Correct choice: #2.

---

#1
! GGA-PBE SmTm2Al, relaxed; values from VASP
! Density in kg/m³: 7817
! Symmetry: P4/mmm (123)
&SYSTEM
  ibrav = 0, nat = 4, ntyp = 3
/
ATOMIC_SPECIES
Tm 168.93 Tm.upf
Al 26.98 Al.upf
Sm 150.36 Sm.upf
ATOMIC_POSITIONS crystal
Tm 0.000 0.000 0.211
Al 0.500 0.500 0.000
Tm 0.000 0.000 0.789
Sm 0.500 0.500 0.500
CELL_PARAMETERS angstrom
3.498 0.000 0.000
0.000 3.498 0.000
0.000 0.000 8.943

---

#2
! GGA-PBE SmTm2Al, relaxed; values from VASP
! Density in kg/m³: 7988
! Symmetry: Fm-3m (225)
&SYSTEM
  ibrav = 0, nat = 4, ntyp = 3
/
ATOMIC_SPECIES
Tm 168.93 Tm.upf
Sm 150.36 Sm.upf
Al 26.98 Al.upf
ATOMIC_POSITIONS crystal
Tm 0.750 0.750 0.750
Sm 0.500 0.500 0.500
Al 0.000 0.000 0.000
Tm 0.250 0.250 0.250
CELL_PARAMETERS angstrom
-4.214 -3.258 -0.220
0.282 -4.538 -2.782
0.116 -4.683 2.544

---

Which of them is the most stable? Correct choice: #1.

---

#1
! GGA-PBE SmTm2Al, relaxed; values from VASP
! Density in kg/m³: 7364
! Symmetry: R-3m (166)
&SYSTEM
  ibrav = 0, nat = 4, ntyp = 3
/
ATOMIC_SPECIES
Al 26.98 Al.upf
Tm 168.93 Tm.upf
Sm 150.36 Sm.upf
ATOMIC_POSITIONS crystal
Al 0.500 0.500 0.500
Tm 0.101 0.101 0.698
Sm 0.000 0.000 0.000
Tm 0.899 0.899 0.302
CELL_PARAMETERS angstrom
3.423 0.000 0.000
1.711 2.964 0.000
1.711 0.988 11.453

---

#2
! GGA-PBE SmTm2Al, relaxed; values from VASP
! Density in kg/m³: 7983
! Symmetry: P4/mmm (123)
&SYSTEM
  ibrav = 0, nat = 4, ntyp = 3
/
ATOMIC_SPECIES
Tm 168.93 Tm.upf
Sm 150.36 Sm.upf
Al 26.98 Al.upf
ATOMIC_POSITIONS crystal
Tm 0.000 0.000 0.500
Tm 0.000 0.500 0.000
Sm 0.500 0.500 0.500
Al 0.500 0.000 0.000
CELL_PARAMETERS angstrom
-0.132 1.734 -4.420
-3.384 -3.136 -1.129
-3.331 3.117 1.323

---

#3
! GGA-PBE SmTm2Al, relaxed; values from VASP
! Density in kg/m³: 8035
! Symmetry: Amm2 (38)
&SYSTEM
  ibrav = 0, nat = 8, ntyp = 3
/
ATOMIC_SPECIES
Tm 168.93 Tm.upf
Sm 150.36 Sm.upf
Al 26.98 Al.upf
ATOMIC_POSITIONS crystal
Tm 0.500 0.174 0.826
Sm 0.500 0.176 0.351
Tm 0.000 0.827 0.173
Sm 0.500 0.649 0.824
Al 0.500 0.668 0.332
Al 0.000 0.329 0.671
Tm 0.000 0.827 0.650
Tm 0.000 0.350 0.173
CELL_PARAMETERS angstrom
5.287 0.000 0.000
0.000 6.814 0.006
0.000 -3.396 5.908

---

Which of them is the most stable? Correct choice: #3.